Entry 1:
The following is a PBE calculation of a relaxed Be2HgH6 crystal, from Alexandria via LeMat-Bulk.

Unit cell a=6.293 b=6.293 c=6.293 alpha=90.00 beta=90.00 gamma=90.00
Space group Fm-3m (No. 225)
One atom of each set of equivalent atoms:
Be1 0.250 0.250 0.250 x8
Hg1 0.000 0.000 0.000 x4
H1 0.000 0.000 0.319 x24

Computed properties:
E in eV/atom: -2.067
Distance to the lowest polymorph of the same formula in eV/atom: 0.745

***

Entry 2:
The following is a PBE calculation of a relaxed Pu4CrRu3 crystal, from Alexandria via LeMat-Bulk.

Unit cell a=4.797 b=4.797 c=13.436 alpha=90.00 beta=90.00 gamma=90.00
Space group I4/mmm (No. 139)
One atom of each set of equivalent atoms:
Pu1 0.000 0.500 0.126 x8
Cr1 0.000 0.000 0.000 x2
Ru1 0.000 0.000 0.244 x4
Ru2 0.000 0.000 0.500 x2

Computed properties:
E in eV/atom: -11.870
Formation energy in eV per atom: -0.02

***

Entry 3:
The following is a PBE calculation of a relaxed Cs2CdReS4 crystal, from Alexandria via LeMat-Bulk.

Unit cell a=7.765 b=7.765 c=8.676 alpha=90.00 beta=90.00 gamma=90.00
Space group I-4 (No. 82)
One atom of each set of equivalent atoms:
Cs1 0.000 0.000 0.000 x2
Cs2 0.000 0.500 0.250 x2
Cd1 0.000 0.000 0.500 x2
Re1 0.000 0.500 0.750 x2
S1 0.130 0.709 0.616 x8

Computed properties:
E in eV/atom: -4.590
Energy relative to the elements, uncorrected in meV per atom: -643

***

Entry 4:
The following is a PBE calculation of a relaxed CoOs4Pt crystal, from Alexandria via LeMat-Bulk.

Unit cell a=7.217 b=7.217 c=7.217 alpha=90.00 beta=90.00 gamma=90.00
Space group F-43m (No. 216)
One atom of each set of equivalent atoms:
Co1 0.000 0.000 0.000 x4
Os1 0.125 0.125 0.625 x16
Pt1 0.250 0.250 0.250 x4

Computed properties:
E in eV/atom: -8.799
Formation energy in eV per atom: 0.88